Compound: ScCr4Os
Source: the Alexandria database
Functional: PBE
Structure: optimized geometry

E_form: 0.242 eV/f.u.
V: 80.6 Å³/f.u.

Cell: 6.8562 6.8562 6.8562 Å, 90.00 90.00 90.00°
Space group F-43m (No. 216)
Inequivalent atoms, fractional coordinates:
Sc: 0.0000 0.0000 0.0000
Cr: 0.1255 0.1255 0.6255
Os: 0.2500 0.2500 0.2500

***

Compound: ScCrOs2
Source: the Alexandria database
Functional: PBE
Structure: optimized geometry

E_form: -0.114 eV/f.u.
Relative energy among the computed polymorphs: 71.8 meV/atom
V: 59.2 Å³/f.u.

Cell: 6.1869 6.1869 6.1869 Å, 90.00 90.00 90.00°
Space group Fm-3m (No. 225)
Inequivalent atoms, fractional coordinates:
Sc: 0.0000 0.0000 0.0000
Cr: 0.0000 0.0000 0.5000
Os: 0.2500 0.2500 0.2500

***

Compound: ScCrOs2
Source: the Alexandria database
Functional: PBE
Structure: optimized geometry

E_form: -0.401 eV/f.u.
Relative energy among the computed polymorphs: 0.0 meV/atom
V: 59.9 Å³/f.u.

Cell: 3.0697 3.0697 6.3585 Å, 90.00 90.00 90.00°
Space group P4/mmm (No. 123)
Inequivalent atoms, fractional coordinates:
Sc: 0.0000 0.0000 0.0000
Cr: 0.0000 0.0000 0.5000
Os: 0.5000 0.5000 0.2736

***

Compound: Sc2Cr2Os
Source: the Alexandria database
Functional: PBE
Structure: optimized geometry

E_form: 4.490 eV/f.u.
Relative energy among the computed polymorphs: 835.7 meV/atom
V: 84.7 Å³/f.u.

Cell: 3.8250 3.8250 11.5823 Å, 90.00 90.00 90.00°
Space group I4/mmm (No. 139)
Inequivalent atoms, fractional coordinates:
Sc: 0.0000 0.5000 0.2500
Cr: 0.0000 0.0000 0.0770
Os: 0.0000 0.0000 0.5000

***

Compound: ScCr2Os
Source: the Alexandria database
Functional: PBE
Structure: optimized geometry

E_form: 1.283 eV/f.u.
Relative energy among the computed polymorphs: 276.3 meV/atom
V: 58.4 Å³/f.u.

Cell: 2.8344 2.8344 25.1846 Å, 90.00 90.00 120.00°
Space group R3m (No. 160, hexagonal axes)
Inequivalent atoms, fractional coordinates:
Sc: 0.0000 0.0000 0.0000
Cr: 0.0000 0.0000 0.2412
Cr: 0.0000 0.0000 0.5090
Os: 0.0000 0.0000 0.7620

***

Compound: ScCrOs2
Source: the Alexandria database
Functional: PBE
Structure: optimized geometry

E_form: 1.609 eV/f.u.
Relative energy among the computed polymorphs: 502.6 meV/atom
V: 66.2 Å³/f.u.

Cell: 7.1231 7.1231 5.2221 Å, 90.00 90.00 90.00°
Space group I-42d (No. 122)
Inequivalent atoms, fractional coordinates:
Sc: 0.0000 0.0000 0.0000
Cr: 0.0000 0.0000 0.5000
Os: 0.1945 0.2500 0.6250

***

Compound: ScCrOs3
Source: the Alexandria database
Functional: PBE
Structure: optimized geometry

E_form: 12.703 eV/f.u.
Relative energy among the computed polymorphs: 1590.8 meV/atom
V: 93.6 Å³/f.u.

Cell: 4.5401 4.5401 4.5401 Å, 90.00 90.00 90.00°
Space group Pm-3m (No. 221)
Inequivalent atoms, fractional coordinates:
Sc: 0.0000 0.0000 0.0000
Cr: 0.5000 0.5000 0.5000
Os: 0.0000 0.0000 0.5000

***

Compound: ScCrOs2
Source: the Alexandria database
Functional: PBE
Structure: optimized geometry

E_form: 0.212 eV/f.u.
Relative energy among the computed polymorphs: 153.1 meV/atom
V: 59.9 Å³/f.u.

Cell: 9.9187 2.9766 4.5584 Å, 90.00 117.14 90.00°
Space group C2/m (No. 12)
Inequivalent atoms, fractional coordinates:
Sc: 0.0000 0.0000 0.0000
Cr: 0.0000 0.5000 0.5000
Os: 0.2250 0.0000 0.7246

***

Compound: ScCrOs3
Source: the Alexandria database
Functional: PBE
Structure: optimized geometry

E_form: 4.749 eV/f.u.
Relative energy among the computed polymorphs: 0.0 meV/atom
V: 88.8 Å³/f.u.

Cell: 4.4615 4.4615 4.4615 Å, 90.00 90.00 90.00°
Space group Pm-3m (No. 221)
Inequivalent atoms, fractional coordinates:
Sc: 0.0000 0.0000 0.0000
Cr: 0.5000 0.5000 0.5000
Os: 0.0000 0.5000 0.5000

***

Compound: ScCrOs2
Source: the Alexandria database
Functional: PBE
Structure: optimized geometry

E_form: 0.684 eV/f.u.
Relative energy among the computed polymorphs: 271.1 meV/atom
V: 61.7 Å³/f.u.

Cell: 2.7995 3.9878 5.5308 Å, 90.00 90.00 90.00°
Space group Pmm2 (No. 25)
Inequivalent atoms, fractional coordinates:
Sc: 0.0000 0.0000 0.0000
Cr: 0.5000 0.5000 0.2833
Os: 0.0000 0.0000 0.4980
Os: 0.5000 0.5000 0.7408

***

Compound: ScCr2Os
Source: the Alexandria database
Functional: PBE
Structure: optimized geometry

E_form: 0.308 eV/f.u.
Relative energy among the computed polymorphs: 32.5 meV/atom
V: 57.0 Å³/f.u.

Cell: 3.0021 4.4364 8.5616 Å, 90.00 90.00 90.00°
Space group Imm2 (No. 44)
Inequivalent atoms, fractional coordinates:
Sc: 0.0000 0.0000 0.0000
Cr: 0.0000 0.0000 0.4884
Cr: 0.0000 0.5000 0.7678
Os: 0.0000 0.5000 0.2320

***

Compound: ScCrOs2
Source: the Alexandria database
Functional: PBE
Structure: optimized geometry

E_form: 1.307 eV/f.u.
Relative energy among the computed polymorphs: 427.1 meV/atom
V: 60.2 Å³/f.u.

Cell: 2.7913 2.7913 26.7690 Å, 90.00 90.00 120.00°
Space group R3m (No. 160, hexagonal axes)
Inequivalent atoms, fractional coordinates:
Sc: 0.0000 0.0000 0.0000
Cr: 0.0000 0.0000 0.7520
Os: 0.0000 0.0000 0.2425
Os: 0.0000 0.0000 0.4934

***

Compound: ScCrOs4
Source: the Alexandria database
Functional: PBE
Structure: optimized geometry

E_form: 0.926 eV/f.u.
V: 97.9 Å³/f.u.

Cell: 7.3160 7.3160 7.3160 Å, 90.00 90.00 90.00°
Space group F-43m (No. 216)
Inequivalent atoms, fractional coordinates:
Sc: 0.0000 0.0000 0.0000
Cr: 0.2500 0.2500 0.7500
Os: 0.1244 0.1244 0.3756

***

Compound: ScCr2Os
Source: the Alexandria database
Functional: PBE
Structure: optimized geometry

E_form: 0.694 eV/f.u.
Relative energy among the computed polymorphs: 129.0 meV/atom
V: 56.6 Å³/f.u.

Cell: 5.2081 8.4776 2.7200 Å, 90.00 109.52 90.00°
Space group C2/m (No. 12)
Inequivalent atoms, fractional coordinates:
Sc: 0.0000 0.0000 0.0000
Cr: 0.2500 0.2500 0.5000
Os: 0.0000 0.5000 0.0000

***

Compound: ScCr2Os
Source: the Alexandria database
Functional: PBE
Structure: optimized geometry

E_form: 0.659 eV/f.u.
Relative energy among the computed polymorphs: 120.1 meV/atom
V: 56.2 Å³/f.u.

Cell: 4.3182 4.3182 3.0128 Å, 90.00 90.00 90.00°
Space group P4/mmm (No. 123)
Inequivalent atoms, fractional coordinates:
Sc: 0.0000 0.0000 0.0000
Cr: 0.0000 0.5000 0.5000
Os: 0.5000 0.5000 0.0000

***

Compound: Sc2Cr2Os
Source: the Alexandria database
Functional: PBE
Structure: optimized geometry

E_form: 0.312 eV/f.u.
Relative energy among the computed polymorphs: 0.0 meV/atom
V: 83.7 Å³/f.u.

Cell: 6.1419 6.1419 4.4396 Å, 90.00 90.00 90.00°
Space group P4/mbm (No. 127)
Inequivalent atoms, fractional coordinates:
Sc: 0.1779 0.3221 0.0000
Cr: 0.1261 0.6261 0.5000
Os: 0.0000 0.0000 0.5000

***

Compound: ScCr2Os
Source: the Alexandria database
Functional: PBE
Structure: optimized geometry

E_form: 0.915 eV/f.u.
Relative energy among the computed polymorphs: 184.2 meV/atom
V: 57.5 Å³/f.u.

Cell: 3.0307 4.5269 8.3768 Å, 90.00 90.00 90.00°
Space group Cmm2 (No. 35)
Inequivalent atoms, fractional coordinates:
Sc: 0.0000 0.0000 0.0000
Cr: 0.0000 0.0000 0.5168
Cr: 0.0000 0.5000 0.7227
Os: 0.0000 0.5000 0.2716

***

Compound: ScCr2Os
Source: the Alexandria database
Functional: PBE
Structure: optimized geometry

E_form: 0.612 eV/f.u.
Relative energy among the computed polymorphs: 108.5 meV/atom
V: 57.2 Å³/f.u.

Cell: 2.7359 4.2272 5.0547 Å, 90.00 101.96 90.00°
Space group P2/m (No. 10)
Inequivalent atoms, fractional coordinates:
Sc: 0.0000 0.0000 0.0000
Cr: 0.2460 0.5000 0.7303
Os: 0.5000 0.0000 0.5000

***

Compound: ScCr2Os
Source: the Alexandria database
Functional: PBE
Structure: optimized geometry

E_form: 0.719 eV/f.u.
Relative energy among the computed polymorphs: 135.1 meV/atom
V: 58.0 Å³/f.u.

Cell: 3.0122 3.0122 6.3956 Å, 90.00 90.00 90.00°
Space group P4/mmm (No. 123)
Inequivalent atoms, fractional coordinates:
Sc: 0.0000 0.0000 0.0000
Cr: 0.5000 0.5000 0.2758
Os: 0.0000 0.0000 0.5000

***

Compound: ScCr2Os
Source: the Alexandria database
Functional: PBE
Structure: optimized geometry

E_form: 1.426 eV/f.u.
Relative energy among the computed polymorphs: 312.0 meV/atom
V: 57.7 Å³/f.u.

Cell: 5.0438 8.5714 2.6678 Å, 90.00 90.00 90.00°
Space group Cmmm (No. 65)
Inequivalent atoms, fractional coordinates:
Sc: 0.0000 0.0000 0.0000
Cr: 0.2500 0.2500 0.5000
Os: 0.0000 0.5000 0.0000

***

Computed E (eV/atom) in order:
-9.3021; -9.6320; -9.7038; -7.7299; -8.8812; -9.2013; -7.3883; -9.5507; -8.9791; -9.4327; -9.1250; -9.2767; -9.9912; -9.0285; -9.0373; -8.5656; -8.9733; -9.0489; -9.0223; -8.8454